# 1
A plane-wave DFT calculation with SCAN was carried out for Zr3Te at its PBEsol-relaxed geometry.

The calculation puts the uncorrected formation energy at -0.408 eV/atom. As for the density of states at the Fermi level: 0.541 states/eV per atom.

It has space group Imm2 (No. 44), with a = 3.593 Å, b = 9.457 Å, c = 5.131 Å, α = 90.00°, β = 90.00° and γ = 90.00°. Symmetry generates all atoms from Zr at (0.000, 0.000, 0.000), Zr at (0.000, 0.241, 0.378) and Te at (0.000, 0.500, 0.022).

=====

# 2
A plane-wave DFT calculation with SCAN was carried out for Ba6Bi6O17 at its PBEsol-relaxed geometry.

The calculation puts the uncorrected formation energy at -1.876 eV/atom. As for the density of states at the Fermi level: 0.120 states/eV per atom.

It has space group Immm (No. 71), with a = 6.250 Å, b = 8.623 Å, c = 18.862 Å, α = 90.00°, β = 90.00° and γ = 90.00°. Symmetry generates all atoms from Ba at (0.000, 0.000, 0.000), Ba at (0.000, 0.000, 0.325), Ba at (0.000, 0.500, 0.000), Ba at (0.000, 0.500, 0.326), Bi at (0.000, 0.246, 0.165), Bi at (0.000, 0.254, 0.500), O at (0.000, 0.000, 0.183), O at (0.000, 0.000, 0.500), O at (0.000, 0.500, 0.154), O at (0.248, 0.219, 0.083) and O at (0.250, 0.250, 0.250).

=====

# 3
A plane-wave DFT calculation with SCAN was carried out for CrTc2W at its PBEsol-relaxed geometry.

As for the density of states at the Fermi level: 1.014 states/eV per atom. The formation energy comes out at 1.049 eV/f.u.

It has space group R-3m (No. 166, hexagonal axes), with a = 2.7207 Å, b = 2.7207 Å, c = 26.0615 Å, α = 90.00°, β = 90.00° and γ = 120.00°. Symmetry generates all atoms from Cr at (0.0000, 0.0000, 0.0000), Tc at (0.0000, 0.0000, 0.2559) and W at (0.0000, 0.0000, 0.5000).

=====

# 4
A plane-wave DFT calculation with SCAN was carried out for CdMoAs at its PBEsol-relaxed geometry.

As for the density of states at the Fermi level: 0.443 states/eV per atom. The formation energy comes out at 1.219 eV/f.u. For the energy above the most stable polymorph in this dataset, the calculation gives 0.000 eV per atom.

It has space group P-6m2 (No. 187), with a = 4.6061 Å, b = 4.6061 Å, c = 2.7787 Å, α = 90.00°, β = 90.00° and γ = 120.00°. Symmetry generates all atoms from Cd at (0.0000, 0.0000, 0.0000), Mo at (0.3333, 0.6667, 0.5000) and As at (0.6667, 0.3333, 0.5000).

=====

# 5
A plane-wave DFT calculation with SCAN was carried out for Al2FeTe at its PBEsol-relaxed geometry.

The calculation puts the uncorrected formation energy at 0.170 eV/atom. As for the density of states at the Fermi level: 0.385 states/eV per atom.

It has space group P4mm (No. 99), with a = 3.008 Å, b = 3.008 Å, c = 7.533 Å, α = 90.00°, β = 90.00° and γ = 90.00°. Symmetry generates all atoms from Al at (0.000, 0.000, 0.000), Al at (0.500, 0.500, 0.243), Fe at (0.000, 0.000, 0.434) and Te at (0.500, 0.500, 0.633).

=====

# 6
A plane-wave DFT calculation with SCAN was carried out for Li2Fe2Mo3O12 at its PBEsol-relaxed geometry.

The calculation puts the uncorrected formation energy at -2.054 eV/atom. As for the density of states at the Fermi level: 0.104 states/eV per atom.

It has space group Pbcn (No. 60), with a = 12.743 Å, b = 9.403 Å, c = 9.215 Å, α = 90.00°, β = 90.00° and γ = 90.00°. Symmetry generates all atoms from Li at (0.191, 0.222, 0.232), Fe at (0.122, 0.253, 0.531), Mo at (0.000, 0.465, 0.250), Mo at (0.142, 0.099, 0.896), O at (0.012, 0.146, 0.936), O at (0.066, 0.426, 0.626), O at (0.094, 0.352, 0.338), O at (0.161, 0.089, 0.392), O at (0.176, 0.172, 0.725) and O at (0.224, 0.175, 0.032).

=====

# 7
A plane-wave DFT calculation with SCAN was carried out for YTl2Ni at its PBEsol-relaxed geometry.

As for the density of states at the Fermi level: 0.588 states/eV per atom. The formation energy comes out at -0.134 eV/f.u.

It has space group I-4m2 (No. 119), with a = 4.551 Å, b = 4.551 Å, c = 8.240 Å, α = 90.00°, β = 90.00° and γ = 90.00°. Symmetry generates all atoms from Y at (0.000, 0.000, 0.000), Tl at (0.000, 0.000, 0.500), Tl at (0.000, 0.500, 0.250) and Ni at (0.000, 0.500, 0.750).

=====

# 8
A plane-wave DFT calculation with SCAN was carried out for ZrAg2W at its PBEsol-relaxed geometry.

As for the density of states at the Fermi level: 0.482 states/eV per atom. The formation energy comes out at 1.486 eV/f.u.

It has space group Pm (No. 6), with a = 2.680 Å, b = 4.572 Å, c = 5.763 Å, α = 90.00°, β = 103.13° and γ = 90.00°. Symmetry generates all atoms from Zr at (0.000, 0.000, 0.000), Ag at (0.621, 0.500, 0.242), Ag at (0.743, 0.000, 0.497) and W at (0.354, 0.500, 0.716).

=====

# 9
A plane-wave DFT calculation with SCAN was carried out for Cu3Sb4O6F6 at its PBEsol-relaxed geometry.

The calculation puts the uncorrected formation energy at -1.608 eV/atom. As for the density of states at the Fermi level: 0.104 states/eV per atom.

It has space group I-43m (No. 217), with a = 8.048 Å, b = 8.048 Å, c = 8.048 Å, α = 90.00°, β = 90.00° and γ = 90.00°. Symmetry generates all atoms from Cu at (0.000, 0.000, 0.500), Sb at (0.165, 0.165, 0.835), O at (0.000, 0.000, 0.254) and F at (0.000, 0.250, 0.500).

=====

# 10
A plane-wave DFT calculation with SCAN was carried out for LiTlRu2Pb at its PBEsol-relaxed geometry.

As for the density of states at the Fermi level: 0.537 states/eV per atom. The formation energy comes out at 7.563 eV/f.u.

It has space group P4/mmm (No. 123), with a = 5.018 Å, b = 5.018 Å, c = 5.713 Å, α = 90.00°, β = 90.00° and γ = 90.00°. Symmetry generates all atoms from Li at (0.000, 0.000, 0.000), Tl at (0.500, 0.500, 0.000), Ru at (0.000, 0.500, 0.500) and Pb at (0.500, 0.500, 0.500).

=====

# 11
A plane-wave DFT calculation with SCAN was carried out for In3Pb at its PBEsol-relaxed geometry.

As for the density of states at the Fermi level: 0.447 states/eV per atom. The formation energy comes out at 0.315 eV/f.u.

It has space group P2/m (No. 10), with a = 3.281 Å, b = 5.388 Å, c = 6.076 Å, α = 90.00°, β = 96.50° and γ = 90.00°. Symmetry generates all atoms from In at (0.000, 0.000, 0.000), In at (0.204, 0.500, 0.755) and Pb at (0.500, 0.000, 0.500).

=====

# 12
A plane-wave DFT calculation with SCAN was carried out for AsOsSe4 at its PBEsol-relaxed geometry.

The calculation puts the uncorrected formation energy at 1.614 eV/atom. As for the density of states at the Fermi level: 0.916 states/eV per atom.

It has space group F-43m (No. 216), with a = 7.668 Å, b = 7.668 Å, c = 7.668 Å, α = 90.00°, β = 90.00° and γ = 90.00°. Symmetry generates all atoms from As at (0.000, 0.000, 0.000), Os at (0.250, 0.250, 0.250) and Se at (0.124, 0.124, 0.624).